1.
Entry from the Alexandria database: a geometry-optimized K2ZnSe structure (PBE).

Cell and atoms, written as POSCAR:
```
K2ZnSe
1.0
0.0000 3.9825 3.9825
3.9825 0.0000 3.9825
3.9825 3.9825 0.0000
K Zn Se
2 1 1
Direct
0.2500 0.2500 0.2500
0.7500 0.7500 0.7500
0.0000 0.0000 0.0000
0.5000 0.5000 0.5000
```

Computed properties:
* raw total energy: -2.316 eV/atom
* energy above the lowest structure with this stoichiometry: 0.108 eV/f.u.
* E_form (uncorrected): -0.58 eV/atom
* volume: 31.6 A^3/atom
* D(E_F): 0.0 states/eV/f.u.
* M_tot: 0.00 μB/f.u.

2.
Entry from the Alexandria database: a geometry-optimized Pr2NdAs structure (PBE).

Cell and atoms, written as POSCAR:
```
Pr2NdAs
1.0
2.0229 1.1679 9.6204
-2.0229 1.1679 9.6204
0.0000 -2.3359 9.6204
Pr Nd As
2 1 1
Direct
0.0000 0.0000 0.0000
0.2089 0.2089 0.2089
0.7711 0.7711 0.7711
0.6046 0.6046 0.6046
```

Computed properties:
* raw total energy: -5.343 eV/atom
* ΔH_f (0 K): -599 meV per atom
* energy above the lowest structure with this stoichiometry: 0.000 eV/f.u.
* volume: 34.1 A^3/atom
* D(E_F): 4.5 states/eV/f.u.
* M_tot: 0.42 μB/f.u.

3.
Entry from the Alexandria database: a geometry-optimized LaPm2Ag2Sn2 structure (PBE).

Cell and atoms, written as POSCAR:
```
LaPm2Ag2Sn2
1.0
2.4562 1.4181 9.0599
-2.4562 1.4181 9.0599
0.0000 -2.8361 9.0599
La Pm Ag Sn
1 2 2 2
Direct
0.0000 0.0000 0.0000
0.1352 0.1352 0.1352
0.8648 0.8648 0.8648
0.4317 0.4317 0.4317
0.5683 0.5683 0.5683
0.2637 0.2637 0.2637
0.7363 0.7363 0.7363
```

Computed properties:
* raw total energy: -4.480 eV/atom
* ΔH_f (0 K): -460 meV per atom
* volume: 27.0 A^3/atom
* D(E_F): 3.5 states/eV/f.u.
* M_tot: 0.00 μB/f.u.

4.
Entry from the Alexandria database: a geometry-optimized Mg3Sn3Rh structure (PBE).

Cell and atoms, written as POSCAR:
```
Mg3Sn3Rh
1.0
8.7874 0.0000 0.0000
-4.3937 7.6101 0.0000
0.0000 0.0000 4.5616
Mg Sn Rh
6 6 2
Direct
0.1139 0.5569 0.2500
0.4431 0.5569 0.2500
0.4431 0.8861 0.2500
0.5569 0.1139 0.7500
0.5569 0.4431 0.7500
0.8861 0.4431 0.7500
0.1511 0.3022 0.7500
0.1511 0.8489 0.7500
0.3022 0.1511 0.2500
0.6978 0.8489 0.7500
0.8489 0.1511 0.2500
0.8489 0.6978 0.2500
0.3333 0.6667 0.7500
0.6667 0.3333 0.2500
```

Computed properties:
* raw total energy: -3.712 eV/atom
* ΔH_f (0 K): -263 meV per atom
* volume: 21.8 A^3/atom
* D(E_F): 3.1 states/eV/f.u.
* M_tot: 0.00 μB/f.u.

5.
Entry from the Alexandria database: a geometry-optimized BaCuSeO structure (PBE).

Cell and atoms, written as POSCAR:
```
BaCuSeO
1.0
4.1775 0.0000 0.0000
-2.0888 3.6179 0.0000
0.0000 0.0000 5.9714
Ba Cu Se O
1 1 1 1
Direct
0.0000 0.0000 0.0000
0.3333 0.6667 0.4525
0.6667 0.3333 0.5647
0.3333 0.6667 0.1320
```

Computed properties:
* raw total energy: -4.924 eV/atom
* energy above the lowest structure with this stoichiometry: 0.000 eV/f.u.
* E_form (uncorrected): -1.31 eV/atom
* volume: 22.6 A^3/atom
* D(E_F): 5.0 states/eV/f.u.
* M_tot: 0.11 μB/f.u.

6.
Entry from the Alexandria database: a geometry-optimized NdZrGa2 structure (PBE).

Cell and atoms, written as POSCAR:
```
NdZrGa2
1.0
1.8203 1.0509 8.3012
-1.8203 1.0509 8.3012
0.0000 -2.1019 8.3012
Nd Zr Ga
1 1 2
Direct
0.0000 0.0000 0.0000
0.5000 0.5000 0.5000
0.2431 0.2431 0.2431
0.7569 0.7569 0.7569
```

Computed properties:
* raw total energy: -5.151 eV/atom
* ΔH_f (0 K): -309 meV per atom
* energy above the lowest structure with this stoichiometry: 0.744 eV/f.u.
* volume: 23.8 A^3/atom
* D(E_F): 3.2 states/eV/f.u.
* M_tot: 0.00 μB/f.u.

raw total energy of number 4 (Mg3Sn3Rh)? -3.712 eV/atom